1.
The following is a DFT calculation (GGA-PBE) of crystalline BaLaV at its relaxed geometry.

## Properties
**Space group**: I4mm, No. 107
**Magnetic moment**: 3.01 μB per formula unit
**Raw total energy**: -4.80 eV/atom
**DFT formation energy**: 0.52 eV per atom

Unit cell a=7.5899 b=5.4591 c=5.4577 alpha=90.00 beta=111.09 gamma=90.00
Positions (direct):
V 0.4973 0.0000 0.5280
V 0.4973 0.5000 0.0280
Ba 0.8129 0.0000 0.1859
Ba 0.8129 0.5000 0.6859
La 0.2661 0.0000 0.9125
La 0.2661 0.5000 0.4125

---

2.
The following is a DFT calculation (GGA-PBE) of crystalline Ce3Pr2SmSe6 at its relaxed geometry.

## Properties
**Space group**: C2/m, No. 12
**ΔE_f (raw)**: -1.83 eV per atom
**Magnetic moment**: 2.93 μB per formula unit
**Raw total energy**: -6.25 eV/atom

Unit cell a=7.3006 b=7.3006 c=7.3286 alpha=99.56 beta=99.56 gamma=120.03
Positions (direct):
Ce 0.1687 0.8313 0.5000
Ce 0.8313 0.1687 0.5000
Ce 0.5000 0.5000 0.5000
Pr 0.3336 0.6664 0.0000
Pr 0.6664 0.3336 0.0000
Sm 0.0000 0.0000 0.0000
Se 0.9164 0.5875 0.7486
Se 0.7559 0.7559 0.2536
Se 0.0836 0.4125 0.2514
Se 0.5875 0.9164 0.7486
Se 0.2441 0.2441 0.7464
Se 0.4125 0.0836 0.2514

---

Question: Which of these has the highest magnetic moment?
Answer: BaLaV

---

Question: What is the raw total energy in the first record?
Answer: -4.80 eV/atom

---

Question: Which of these has the highest raw total energy?
Answer: BaLaV

---

Question: raw total energy of number 2 (Ce3Pr2SmSe6)?
Answer: -6.25 eV/atom